No. 1
This record from Alexandria describes an optimized crystal structure of Mg3Zn8Ag. The functional is PBE-GGA.

## Properties
Space group ... R3m (160)
Volume ... 16.359 Å³ per atom
Magnetization ... 0.0 μB/cell
Theoretical density ... 5.96 Mg/m³
Energy of formation ... -0.10 eV per atom
Polymorph energy (0 for the lowest one) ... 3.6 meV/atom

abc: 5.1707 5.1707 8.9887
angles: 73.28 73.28 60.00
Atoms (fractional coordinates):
Zn (0.1876, 0.1876, 0.4371)
Mg (0.3753, 0.3753, 0.8741)
Mg (0.5021, 0.5021, 0.4938)
Zn (0.9376, 0.4372, 0.6875)
Zn (0.4372, 0.9376, 0.6875)
Zn (0.9380, 0.4375, 0.1870)
Zn (0.6876, 0.6876, 0.9372)
Zn (0.9376, 0.9376, 0.6875)
Zn (0.4375, 0.4375, 0.1870)
Mg (0.9980, 0.9980, 0.0061)
Zn (0.4375, 0.9380, 0.1870)
Ag (0.8740, 0.8740, 0.3781)

No. 2
This record from Alexandria describes an optimized crystal structure of ZrAg4. The functional is PBE-GGA.

## Properties
Space group ... Im-3m (229)
Volume ... 25.577 Å³ per atom
Magnetization ... 0.0 μB/cell
Theoretical density ... 6.79 Mg/m³
Energy of formation ... 0.82 eV per atom

abc: 5.4973 5.4973 5.4973
angles: 109.47 109.47 109.47
Atoms (fractional coordinates):
Ag (0.0000, 0.0000, 0.5000)
Ag (0.5000, 0.0000, 0.0000)
Ag (0.0000, 0.5000, 0.0000)
Zr (0.0000, 0.0000, 0.0000)
Ag (0.5000, 0.5000, 0.5000)

No. 3
This record from Alexandria describes an optimized crystal structure of Na2ZnSi2. The functional is PBE-GGA.

## Properties
Space group ... I4/mmm (139)
Volume ... 20.995 Å³ per atom
Magnetization ... 0.0 μB/cell
Theoretical density ... 2.65 Mg/m³
Formation energy (no corrections) ... 0.377 eV per atom
Polymorph energy (0 for the lowest one) ... 289.8 meV/atom

abc: 4.0262 4.0262 7.0742
angles: 73.47 73.47 90.00
Atoms (fractional coordinates):
Na (0.2500, 0.7500, 0.5000)
Zn (0.0000, 0.0000, 0.0000)
Si (0.4147, 0.4147, 0.1707)
Si (0.5853, 0.5853, 0.8293)
Na (0.7500, 0.2500, 0.5000)

No. 4
This record from Alexandria describes an optimized crystal structure of SrCa2Sb. The functional is PBE-GGA.

## Properties
Space group ... P4/mmm (123)
Volume ... 33.818 Å³ per atom
Magnetization ... 0.0 μB/cell
Theoretical density ... 3.55 Mg/m³
Formation energy (no corrections) ... -0.505 eV per atom

abc: 5.0990 5.0990 5.2029
angles: 90.00 90.00 90.00
Atoms (fractional coordinates):
Ca (0.0000, 0.0000, 0.0000)
Ca (0.5000, 0.5000, 0.0000)
Sr (0.0000, 0.5000, 0.5000)
Sb (0.5000, 0.0000, 0.5000)

What did the third record say?
This record from Alexandria describes an optimized crystal structure of Na2ZnSi2. The functional is PBE-GGA.

## Properties
Space group ... I4/mmm (139)
Volume ... 20.995 Å³ per atom
Magnetization ... 0.0 μB/cell
Theoretical density ... 2.65 Mg/m³
Formation energy (no corrections) ... 0.377 eV per atom
Polymorph energy (0 for the lowest one) ... 289.8 meV/atom

abc: 4.0262 4.0262 7.0742
angles: 73.47 73.47 90.00
Atoms (fractional coordinates):
Na (0.2500, 0.7500, 0.5000)
Zn (0.0000, 0.0000, 0.0000)
Si (0.4147, 0.4147, 0.1707)
Si (0.5853, 0.5853, 0.8293)
Na (0.7500, 0.2500, 0.5000)

Q: What is the formula in the first record?
A: Mg3Zn8Ag